Entry 1:
Compound: NiSb2Pb
Source: Alexandria via LeMat-Bulk
Functional: GGA-PBE
Structure: relaxed

Cell: 4.5934 4.5934 9.1407 Å, 90.00 90.00 90.00°
Space group I-4m2 (No. 119)
Inequivalent atoms, fractional coordinates:
Ni (0.0000, 0.0000, 0.0000) [2 per cell]
Sb (0.0000, 0.0000, 0.5000) [2 per cell]
Sb (0.0000, 0.5000, 0.2500) [2 per cell]
Pb (0.0000, 0.5000, 0.7500) [2 per cell]

Properties
The value obtained for the uncorrected formation energy is 0.40 eV/atom. The total energy comes out at -4.03 eV/atom.

Entry 2:
Compound: Dy4HCN2
Source: Alexandria via LeMat-Bulk
Functional: GGA-PBE
Structure: relaxed

Cell: 4.9552 4.9552 9.9761 Å, 90.00 90.00 90.00°
Space group I4/mmm (No. 139)
Inequivalent atoms, fractional coordinates:
Dy (0.0000, 0.0000, 0.2381) [4 per cell]
Dy (0.0000, 0.5000, 0.0000) [4 per cell]
H (0.0000, 0.0000, 0.5000) [2 per cell]
C (0.0000, 0.0000, 0.0000) [2 per cell]
N (0.0000, 0.5000, 0.2500) [4 per cell]

Properties
The total energy comes out at -6.96 eV/atom.

Entry 3:
Compound: YMn2Co2
Source: Alexandria via LeMat-Bulk
Functional: GGA-PBE
Structure: relaxed

Cell: 7.1774 7.1774 2.6011 Å, 90.00 90.00 90.00°
Space group P4/mbm (No. 127)
Inequivalent atoms, fractional coordinates:
Y (0.0000, 0.0000, 0.0000) [2 per cell]
Mn (0.1121, 0.3879, 0.0000) [4 per cell]
Co (0.1741, 0.6741, 0.5000) [4 per cell]

Properties
For the formation enthalpy at 0 K, the calculation gives 0.274 eV per atom. The energy above the most stable polymorph in this dataset is 0.264 eV per atom. The total energy comes out at -7.53 eV/atom.

Entry 4:
Compound: Sm4Th
Source: Alexandria via LeMat-Bulk
Functional: GGA-PBE
Structure: relaxed

Cell: 5.8836 5.8836 5.8836 Å, 90.00 90.00 90.00°
Space group Pm-3m (No. 221)
Inequivalent atoms, fractional coordinates:
Sm (0.0000, 0.0000, 0.0000) [1 per cell]
Sm (0.0000, 0.5000, 0.5000) [3 per cell]
Th (0.5000, 0.5000, 0.5000) [1 per cell]

Properties
For the formation enthalpy at 0 K, the calculation gives 0.756 eV per atom. The energy above the most stable polymorph in this dataset is 0.734 eV per atom. The total energy comes out at -4.50 eV/atom.